Here is Al2TlS4 after structural relaxation from the Alexandria database. Energies are from PBE-GGA.

Cell: 5.236 5.236 6.588 Å, 90.00 90.00 90.00°
Space group P-42m (No. 111)
Symmetry-distinct sites (fractional):
Al1 0.000 0.500 0.000 [2 per cell]
Tl1 0.000 0.000 0.500 [1 per cell]
S1 0.272 0.272 0.797 [4 per cell]

Results
Raw formation energy in eV per atom: -0.76
Calculated volume in Å³ per cell: 180.6